1.
Below is an optimized crystal structure of NdDyCoPd, with properties calculated at the PBE level.

Structure (POSCAR):
```
NdDyCoPd
1.0
4.937 0.000 0.000
2.468 4.275 0.000
2.468 1.425 4.031
Pd Dy Co Nd
1 1 1 1
Cartesian
4.937 2.850 2.015
2.468 1.425 1.008
0.000 0.000 0.000
7.405 4.275 3.023
```

---

2.
Below is an optimized crystal structure of UAlAu3, with properties calculated at the PBE level.

Calculated values
- energy relative to the lowest polymorph listed for this composition (meV/atom) = 96

Structure (POSCAR):
```
UAlAu3
1.0
5.183 0.000 0.000
0.000 5.424 -2.854
0.000 0.219 6.998
Au Al U
6 2 2
Cartesian
1.296 2.359 1.146
1.296 5.033 -0.261
0.000 0.000 0.000
2.591 0.000 0.000
3.887 0.611 4.405
3.887 3.284 2.998
1.296 4.601 2.163
3.887 1.043 1.981
3.887 3.102 -0.686
1.296 2.542 4.830
```

---

3.
Below is an optimized crystal structure of Sr2TlP, with properties calculated at the PBE level.

Calculated values
- energy relative to the lowest polymorph listed for this composition (meV/atom) = 601

Structure (POSCAR):
```
Sr2TlP
1.0
0.000 3.930 3.930
3.930 0.000 3.930
3.930 3.930 0.000
Sr Tl P
2 1 1
Cartesian
5.895 5.895 5.895
0.000 0.000 0.000
1.965 1.965 1.965
3.930 3.930 3.930
```

---

4.
Below is an optimized crystal structure of Pa4Ga6Co7, with properties calculated at the PBE level.

Structure (POSCAR):
```
Pa4Ga6Co7
1.0
-6.824 1.439 1.293
1.278 0.651 -6.946
1.450 -6.630 2.059
Ga Co Pa
6 7 4
Cartesian
-1.807 0.681 -1.842
1.839 -4.031 -3.295
-1.751 -1.691 1.092
-3.739 1.409 -3.811
-3.623 -3.500 2.261
0.889 -1.948 -1.592
0.020 -4.288 -1.605
-4.116 -0.253 -1.988
-2.091 -0.450 -4.048
0.000 0.000 0.000
-0.023 -2.467 -3.857
-2.005 -4.091 0.455
-4.073 -2.073 0.263
-3.412 0.719 0.647
0.725 -3.315 1.030
0.639 0.325 -3.473
-2.048 -2.270 -1.797
```

---

| no. | DFT formation energy (meV per atom) | final energy (eV per cell) | total magnetization (μB/f.u.) |
| --- | --- | --- | --- |
| 1 | -391 | -23.233 | 0.3 |
| 2 | -166 | -51.390 | 3.2 |
| 3 | -52 | -11.348 | 0.0 |
| 4 | -367 | -112.121 | 0.7 |